No. 1
BaNaSr2S: optimized geometry, GGA-PBE.

Computed properties:
- Formation energy from raw total energies: -0.74 eV/atom

Unit cell a=5.9205 b=5.9205 c=6.4155 alpha=90.00 beta=90.00 gamma=90.00
Last column: nearest neighbours and their distance in Å.
Atoms (fractional coordinates):
Ba1 0.0000 0.0000 0.0000  2 S 3.21
Na1 0.5000 0.5000 0.0000  4 Ba 4.19, 8 Sr 4.36
Sr1 0.0000 0.5000 0.5000  2 S 2.96
Sr2 0.5000 0.0000 0.5000  2 S 2.96
S1 0.0000 0.0000 0.5000  4 Sr 2.96, 2 Ba 3.21

No. 2
Ba2Na3TaS6: optimized geometry, GGA-PBE.

Computed properties:
- Formation energy from raw total energies: -1.38 eV/atom

Unit cell a=7.5193 b=7.5193 c=7.0190 alpha=99.53 beta=99.53 gamma=121.25
Last column: nearest neighbours and their distance in Å.
Atoms (fractional coordinates):
Ba1 0.1705 0.8295 0.0000  6 S 3.09-3.13
Ba2 0.8295 0.1705 0.0000  6 S 3.09-3.13
Na1 0.0000 0.0000 0.5000  4 S 2.93
Na2 0.3613 0.6387 0.5000  4 S 2.78-2.82
Na3 0.6387 0.3613 0.5000  4 S 2.78-2.82
Ta1 0.5000 0.5000 0.0000  6 S 2.50-2.52
S1 0.1585 0.4265 0.7714  1 Ta 2.52, 1 Na 2.82
S2 0.2872 0.2872 0.2110  1 Ta 2.50, 2 Na 2.78
S3 0.4265 0.1585 0.7714  1 Ta 2.52, 1 Na 2.82
S4 0.5735 0.8415 0.2286  1 Ta 2.52, 1 Na 2.82
S5 0.7128 0.7128 0.7890  1 Ta 2.50, 2 Na 2.78
S6 0.8415 0.5735 0.2286  1 Ta 2.52, 1 Na 2.82

No. 3
BaNaTaS4: optimized geometry, GGA-PBE.

Computed properties:
- Formation energy from raw total energies: -1.39 eV/atom

Unit cell a=6.9948 b=6.9966 c=8.6066 alpha=90.00 beta=108.43 gamma=90.00
Last column: nearest neighbours and their distance in Å.
Atoms (fractional coordinates):
Ba1 0.2335 0.2500 0.4365  6 S 3.15-3.32
Ba2 0.7665 0.7500 0.5635  6 S 3.15-3.32
Na1 0.2769 0.2500 0.9568  6 S 3.01-3.31
Na2 0.7231 0.7500 0.0432  6 S 3.01-3.31
Ta1 0.2663 0.7500 0.1860  4 S 2.26-2.30
Ta2 0.7337 0.2500 0.8140  4 S 2.26-2.30
S1 0.0717 0.7500 0.3572  1 Ta 2.30
S2 0.0841 0.7500 0.9179  1 Ta 2.26
S3 0.4833 0.0037 0.2484  1 Ta 2.29
S4 0.4833 0.4963 0.2484  1 Ta 2.29
S5 0.5167 0.5037 0.7516  1 Ta 2.29
S6 0.5167 0.9963 0.7516  1 Ta 2.29
S7 0.9159 0.2500 0.0821  1 Ta 2.26
S8 0.9283 0.2500 0.6428  1 Ta 2.30

No. 4
Ba4NaTa3S12: optimized geometry, GGA-PBE.

Computed properties:
- Formation energy from raw total energies: -1.39 eV/atom

Unit cell a=8.6096 b=8.6096 c=8.6096 alpha=109.47 beta=109.47 gamma=109.47
Last column: nearest neighbours and their distance in Å.
Atoms (fractional coordinates):
Ba1 0.0000 0.0000 0.5000  12 S 3.51-3.52
Ba2 0.0000 0.5000 0.0000  12 S 3.51-3.52
Ba3 0.5000 0.0000 0.0000  12 S 3.51-3.52
Ba4 0.5000 0.5000 0.5000  12 S 3.51-3.52
Na1 0.0000 0.0000 0.0000  6 S 2.62
Ta1 0.0000 0.5000 0.5000  6 S 2.35-2.49
Ta2 0.5000 0.0000 0.5000  6 S 2.35-2.49
Ta3 0.5000 0.5000 0.0000  6 S 2.35-2.49
S1 0.0000 0.2634 0.2634  1 Ta 2.35, 1 Na 2.62
S2 0.0000 0.7366 0.7366  1 Ta 2.35, 1 Na 2.62
S3 0.2500 0.5000 0.7500  2 Ta 2.49
S4 0.2500 0.7500 0.5000  2 Ta 2.49
S5 0.2634 0.0000 0.2634  1 Ta 2.35, 1 Na 2.62
S6 0.2634 0.2634 0.0000  1 Ta 2.35, 1 Na 2.62
S7 0.5000 0.2500 0.7500  2 Ta 2.49
S8 0.5000 0.7500 0.2500  2 Ta 2.49
S9 0.7366 0.0000 0.7366  1 Ta 2.35, 1 Na 2.62
S10 0.7366 0.7366 0.0000  1 Ta 2.35, 1 Na 2.62
S11 0.7500 0.2500 0.5000  2 Ta 2.49
S12 0.7500 0.5000 0.2500  2 Ta 2.49